Cd2HgOs: relaxed, PBE-GGA.

V = 18.99 Å³ per atom
ΔE_f = 0.53 eV/atom

Unit cell a=2.8949 b=4.9301 c=5.3213 alpha=90.00 beta=90.00 gamma=90.00
Space group Pmm2 (No. 25)
One atom of each set of equivalent atoms:
1 Cd 0.0000 0.0000 0.0000 x1
2 Cd 0.0000 0.5000 0.3406 x1
3 Hg 0.5000 0.5000 0.8204 x1
4 Os 0.5000 0.0000 0.4919 x1

PaCuAu: relaxed, PBE-GGA.

V = 18.93 Å³ per atom
ΔE_f = -0.14 eV/atom

Unit cell a=3.2321 b=3.2321 c=10.8715 alpha=90.00 beta=90.00 gamma=90.00
Space group I4mm (No. 107)
One atom of each set of equivalent atoms:
1 Pa 0.0000 0.0000 0.0000 x2
2 Cu 0.0000 0.0000 0.6733 x2
3 Au 0.0000 0.0000 0.3072 x2

ZnTeMo2: relaxed, PBE-GGA.

V = 17.59 Å³ per atom
formation energy (no corrections) = 361 meV per atom

Unit cell a=9.4251 b=3.2968 c=4.8127 alpha=90.00 beta=109.75 gamma=90.00
Space group Cm (No. 8)
One atom of each set of equivalent atoms:
1 Zn 0.0000 0.0000 0.0000 x2
2 Te 0.2741 0.5000 0.3239 x2
3 Mo 0.0356 0.5000 0.5468 x2
4 Mo 0.2499 0.0000 0.8346 x2

ReSnO: relaxed, PBE-GGA.

V = 17.99 Å³ per atom
formation energy (no corrections) = -361 meV per atom

Unit cell a=3.6317 b=4.9851 c=6.3983 alpha=111.27 beta=90.04 gamma=90.07
Space group P-1 (No. 2)
One atom of each set of equivalent atoms:
1 Re 0.2497 0.1354 0.1240 x2
2 Sn 0.2490 0.3682 0.7759 x2
3 O 0.2504 0.1665 0.4246 x2